# 1
Density functional theory data (GGA-PBE) for a geometry-optimized BaNb2In structure.

* formation energy from the elements: 4.67 eV per formula unit
* E: -40.3 eV/cell

Geometry as POSCAR:
```
BaNb2In
1.0
-2.681 -6.364 -4.934
7.695 -3.557 0.407
1.667 -6.499 0.177
Nb Ba In
4 2 2
direct
0.585 0.125 0.250 Nb
0.165 0.625 0.250 Nb
0.375 0.415 0.750 Nb
0.875 0.835 0.750 Nb
0.000 0.000 0.000 Ba
0.750 0.250 0.500 Ba
0.500 0.500 0.000 In
0.250 0.750 0.500 In
```

# 2
Density functional theory data (GGA-PBE) for a geometry-optimized CaHgOs2Cl structure.

* E: -18.1 eV/cell

Geometry as POSCAR:
```
CaHgOs2Cl
1.0
5.045 0.000 0.000
0.000 5.993 0.000
0.000 0.000 5.045
Ca Os Hg Cl
1 2 1 1
direct
0.000 0.500 0.000 Ca
0.000 0.000 0.500 Os
0.500 0.000 0.000 Os
0.000 0.000 0.000 Hg
0.500 0.500 0.500 Cl
```

Values of DOS at the Fermi energy, in order: 1.652; 0.564, all in states/eV per atom.